First-principles (PBE) data for a geometry-optimized TbH4Pd3 structure, as listed in Alexandria via LeMat-Bulk.

Computed properties:
Fermi-level density of states: 4.4 states/eV per cell
E: -4.61 eV per atom

a = 5.495 Å, b = 5.495 Å, c = 5.495 Å
α = 90.00°, β = 90.00°, γ = 90.00°
Space group Pm-3n (No. 223)
Unique sites:
Tb1 0.000 0.000 0.000
H1 0.250 0.250 0.250
Pd1 0.000 0.250 0.500